Entry 1:
# V2AsH2

A relaxed V2AsH2 crystal (PBE, Alexandria).

Output
Space group = I4/mmm (139)

Cell: 3.6373 3.6373 4.6501 Å, 66.98 66.98 90.00°
With the nearest neighbours (Å) after each atom.
Fractional positions:
H1 0.6625 0.6625 0.6750  4 V 1.94
H2 0.3375 0.3375 0.3250  4 V 1.94
As1 0.0000 0.0000 0.0000  10 H 2.61-2.86, 8 V 2.66
V1 0.2500 0.7500 0.5000  4 H 1.94
V2 0.7500 0.2500 0.5000  4 H 1.94



Entry 2:
# ScTl2N

A relaxed ScTl2N crystal (PBE, Alexandria).

Output
Space group = I-42d (122)

Cell: 9.9514 9.9514 7.3272 Å, 47.23 47.23 90.00°
With the nearest neighbours (Å) after each atom.
Fractional positions:
Sc1 0.7500 0.2500 0.5000  2 N 2.04
Sc2 0.0000 0.0000 0.0000  2 N 2.04
Tl1 0.4928 0.1250 0.2500  2 N 2.80
Tl2 0.8750 0.7428 0.7500  2 N 2.80
Tl3 0.2572 0.6250 0.2500  2 N 2.80
Tl4 0.3750 0.5072 0.7500  2 N 2.80
N1 0.5000 0.5000 0.0000  2 Sc 2.04
N2 0.2500 0.7500 0.5000  2 Sc 2.04



| no. | final energy (eV/atom) | energy above the lowest structure with this stoichiometry (eV per atom) | Fermi-level density of states (states/eV/cell) |
| --- | --- | --- | --- |
| 1 | -5.990 | 0.058 | 2.78 |
| 2 | -4.843 | 0.000 | 4.79 |